Zn5SbRh6 | PBE | relaxed

Cell lengths 4.328, 6.121, 12.973 Å; angles 90.00, 90.00, 90.00 degrees
Space group Immm (No. 71)
Unique sites:
Zn 0.000 0.000 0.000 [2 per cell]
Zn 0.000 0.000 0.327 [4 per cell]
Zn 0.000 0.500 0.333 [4 per cell]
Sb 0.000 0.500 0.000 [2 per cell]
Rh 0.000 0.250 0.166 [8 per cell]
Rh 0.000 0.251 0.500 [4 per cell]

Output
Crystal system: orthorhombic
E (eV/atom): -5.012

***

ZnSbRh2 | PBE | relaxed

Cell lengths 3.086, 3.955, 5.387 Å; angles 90.00, 90.00, 90.00 degrees
Space group Pmm2 (No. 25)
Unique sites:
Zn 0.000 0.000 0.000 [1 per cell]
Sb 0.500 0.500 0.654 [1 per cell]
Rh 0.000 0.000 0.476 [1 per cell]
Rh 0.500 0.500 0.145 [1 per cell]

Output
Crystal system: orthorhombic
E (eV/atom): -5.275

***

Zn3SbRh3 | PBE | relaxed

Cell lengths 8.6562, 8.6562, 5.2601 Å; angles 90.00, 90.00, 120.00 degrees
Space group R-3m (No. 166, hexagonal axes)
Unique sites:
Zn 0.0000 0.5000 0.0000 [9 per cell]
Sb 0.0000 0.0000 0.0000 [3 per cell]
Rh 0.0000 0.5000 0.5000 [9 per cell]

Output
Crystal system: trigonal
E (eV/atom): -4.662

***

Computed DOS(E_F), in the same sequence as the records: 3.24; 2.19; 3.77 states/eV/f.u..
Computed spin magnetization, in the same sequence as the records: 0.0; 0.0; 0.0 μB/f.u..
Computed E_form (uncorrected), in the same sequence as the records: -45; -24; -36 kJ/mol of atoms.